No. 1
Here is a geometry-optimized ScCr2Se structure from Alexandria via LeMat-Bulk. Energies are from GGA-PBE.

Formation energy from raw total energies (eV per atom): -0.15
ρ (g cm⁻³): 5.6
VASP energy (eV/cell): -29.66
Total magnetic moment (μB/atom): 0.345

a b c (Å): 3.3385 3.3385 6.0525
angles (deg): 90.00 90.00 90.00
Sites, in units of the cell vectors:
Sc  0.0000  0.0000  0.0000
Cr  0.0000  0.0000  0.5205
Cr  0.5000  0.5000  0.7123
Se  0.5000  0.5000  0.2393

No. 2
Here is a geometry-optimized ScCrSe structure from Alexandria via LeMat-Bulk. Energies are from GGA-PBE.

Excess energy over the best structure of this formula in the dataset (eV/f.u.): 0.06
Formation energy from raw total energies (eV per atom): -0.62
ρ (g cm⁻³): 5.2
VASP energy (eV/cell): -42.62
Total magnetic moment (μB/atom): 0.135

a b c (Å): 3.5357 3.6018 8.8819
angles (deg): 90.00 90.00 90.00
Sites, in units of the cell vectors:
Sc  0.0000  0.0000  0.0000
Sc  0.0000  0.5000  0.3584
Cr  0.0000  0.5000  0.6693
Cr  0.5000  0.0000  0.5873
Se  0.5000  0.0000  0.2428
Se  0.5000  0.5000  0.8874

No. 3
Here is a geometry-optimized ScCrSe2 structure from Alexandria via LeMat-Bulk. Energies are from GGA-PBE.

Excess energy over the best structure of this formula in the dataset (eV/f.u.): 0.00
Formation energy from raw total energies (eV per atom): -0.98
ρ (g cm⁻³): 5.3
VASP energy (eV/cell): -26.83
Total magnetic moment (μB/atom): 1.006

a b c (Å): 3.8410 3.8410 5.4400
angles (deg): 90.00 90.00 90.00
Sites, in units of the cell vectors:
Sc  0.0000  0.0000  0.0000
Cr  0.5000  0.5000  0.5000
Se  0.0000  0.0000  0.5000
Se  0.5000  0.5000  0.0000

No. 4
Here is a geometry-optimized ScCr3Se structure from Alexandria via LeMat-Bulk. Energies are from GGA-PBE.

Excess energy over the best structure of this formula in the dataset (eV/f.u.): 0.00
Formation energy from raw total energies (eV per atom): 0.58
ρ (g cm⁻³): 5.1
VASP energy (eV/cell): -35.81
Total magnetic moment (μB/atom): 1.357

a b c (Å): 4.5075 4.5075 4.5075
angles (deg): 90.00 90.00 90.00
Sites, in units of the cell vectors:
Sc  0.0000  0.0000  0.0000
Cr  0.0000  0.5000  0.5000
Cr  0.5000  0.0000  0.5000
Cr  0.5000  0.5000  0.0000
Se  0.5000  0.5000  0.5000

No. 5
Here is a geometry-optimized ScCr2Se structure from Alexandria via LeMat-Bulk. Energies are from GGA-PBE.

Formation energy from raw total energies (eV per atom): 0.02
ρ (g cm⁻³): 5.7
VASP energy (eV/cell): -28.97
Total magnetic moment (μB/atom): 0.000

a b c (Å): 3.3116 4.4345 4.4991
angles (deg): 90.00 93.62 90.00
Sites, in units of the cell vectors:
Sc  0.0000  0.0000  0.0000
Cr  0.4232  0.5000  0.7860
Cr  0.5768  0.5000  0.2140
Se  0.5000  0.0000  0.5000

No. 6
Here is a geometry-optimized ScCrSe2 structure from Alexandria via LeMat-Bulk. Energies are from GGA-PBE.

Excess energy over the best structure of this formula in the dataset (eV/f.u.): 0.91
Formation energy from raw total energies (eV per atom): -0.75
ρ (g cm⁻³): 5.2
VASP energy (eV/cell): -25.92
Total magnetic moment (μB/atom): 1.043

a b c (Å): 3.5361 3.4327 6.8751
angles (deg): 90.00 103.24 90.00
Sites, in units of the cell vectors:
Sc  0.0000  0.0000  0.0000
Cr  0.5000  0.0000  0.5000
Se  0.4299  0.5000  0.7647
Se  0.5701  0.5000  0.2353

No. 7
Here is a geometry-optimized ScCrSe structure from Alexandria via LeMat-Bulk. Energies are from GGA-PBE.

Excess energy over the best structure of this formula in the dataset (eV/f.u.): 0.11
Formation energy from raw total energies (eV per atom): -0.61
ρ (g cm⁻³): 6.0
VASP energy (eV/cell): -42.52
Total magnetic moment (μB/atom): 0.000

a b c (Å): 3.7384 3.7384 6.9434
angles (deg): 91.32 91.32 89.60
Sites, in units of the cell vectors:
Sc  0.2459  0.2459  0.3441
Sc  0.7541  0.7541  0.6559
Cr  0.2026  0.7974  0.0000
Cr  0.7974  0.2026  0.0000
Se  0.2671  0.2671  0.7466
Se  0.7329  0.7329  0.2534

No. 8
Here is a geometry-optimized ScCrSe structure from Alexandria via LeMat-Bulk. Energies are from GGA-PBE.

Excess energy over the best structure of this formula in the dataset (eV/f.u.): 0.30
Formation energy from raw total energies (eV per atom): -0.55
ρ (g cm⁻³): 4.9
VASP energy (eV/cell): -42.15
Total magnetic moment (μB/atom): 0.026

a b c (Å): 5.0700 5.0700 7.7944
angles (deg): 114.69 114.69 41.44
Sites, in units of the cell vectors:
Sc  0.0000  0.0000  0.0000
Sc  0.1576  0.1576  0.6631
Cr  0.2735  0.2735  0.3674
Cr  0.5937  0.5937  0.3365
Se  0.3155  0.3155  0.0668
Se  0.4642  0.4642  0.7192